# 1
VASP calculation (PBE) on a geometry-optimized Nd3Sm12Dy5 structure.

It has space group Ia-3d (No. 230), with a = 18.951 Å, b = 18.951 Å, c = 18.951 Å, α = 90.00°, β = 90.00° and γ = 90.00°. The distinct sites, in fractional coordinates, are Nd at (0.000, 0.250, 0.125), Sm at (0.009, 0.081, 0.645), Dy at (0.000, 0.000, 0.000) and Dy at (0.000, 0.250, 0.375).

The total DFT energy (no corrections) is -0.1350 Ha/atom. The value obtained for the formation energy is 1.0241 eV/atom.


# 2
VASP calculation (PBE) on a geometry-optimized ZnRe2Se structure.

It has space group R-3m (No. 166, hexagonal axes), with a = 2.9056 Å, b = 2.9056 Å, c = 24.9657 Å, α = 90.00°, β = 90.00° and γ = 120.00°. The distinct sites, in fractional coordinates, are Zn at (0.0000, 0.0000, 0.0000), Re at (0.0000, 0.0000, 0.2453) and Se at (0.0000, 0.0000, 0.5000).

The total DFT energy (no corrections) is -0.2527 Ha/atom. For the formation energy from raw total energies, the calculation gives 2.15 eV per formula unit.


Number 1: DOS at the Fermi energy 343.890 states/eV/cell. Number 2: DOS at the Fermi energy 13.974 states/eV/cell.